MgH6N2Cl2: optimized geometry, GGA-PBEsol.

It has space group Imma (No. 74), with a = 7.4504 Å, b = 8.0432 Å, c = 8.0330 Å, α = 90.00°, β = 90.00° and γ = 90.00°. The distinct sites, in fractional coordinates, are Mg at (0.0000, 0.2500, 0.2437), H at (0.0000, 0.0746, 0.6553), H at (0.1093, 0.0617, 0.8335), N at (0.0000, 0.0159, 0.7692) and Cl at (0.2401, 0.2500, 0.4678).

The value obtained for the magnetic moment is 0.00 Bohr magnetons per cell. For the density of states at the Fermi level, the calculation gives 0.00 states/eV/cell. The total energy is -4.744 eV/atom.

***

ReH2Ru2: optimized geometry, GGA-PBEsol.

It has space group I4/mmm (No. 139), with a = 2.8043 Å, b = 2.8043 Å, c = 11.9575 Å, α = 90.00°, β = 90.00° and γ = 90.00°. The distinct sites, in fractional coordinates, are Re at (0.0000, 0.0000, 0.0000), H at (0.0000, 0.5000, 0.2500) and Ru at (0.0000, 0.0000, 0.3518).

The value obtained for the magnetic moment is 0.00 Bohr magnetons per cell. For the density of states at the Fermi level, the calculation gives 4.55 states/eV/cell. The total energy is -8.004 eV/atom.

***

Ta5Pt3: optimized geometry, GGA-PBEsol.

It has space group I4/mcm (No. 140), with a = 10.2873 Å, b = 10.2873 Å, c = 5.0970 Å, α = 90.00°, β = 90.00° and γ = 90.00°. The distinct sites, in fractional coordinates, are Ta at (0.0000, 0.5000, 0.2500), Ta at (0.0788, 0.2202, 0.0000), Pt at (0.0000, 0.0000, 0.2500) and Pt at (0.1652, 0.3348, 0.5000).

As for the relative energy among the computed polymorphs: 0.19 eV per formula unit. The value obtained for the magnetic moment is 0.00 Bohr magnetons per cell. For the density of states at the Fermi level, the calculation gives 34.38 states/eV/cell. As for the formation energy: -3.57 eV per formula unit.

***

CdO: optimized geometry, GGA-PBEsol.

It has space group P6_3mc (No. 186), with a = 3.6031 Å, b = 3.6031 Å, c = 11.6069 Å, α = 90.00°, β = 90.00° and γ = 120.00°. The distinct sites, in fractional coordinates, are Cd at (0.0000, 0.0000, 0.0000), Cd at (0.3333, 0.6667, 0.2502), O at (0.0000, 0.0000, 0.1901) and O at (0.3333, 0.6667, 0.4396).

The value obtained for the magnetic moment is 0.00 Bohr magnetons per cell. For the density of states at the Fermi level, the calculation gives 0.94 states/eV/cell. The raw formation energy comes out at -967 meV per atom.

***

NiMoCl: optimized geometry, GGA-PBEsol.

It has space group I4mm (No. 107), with a = 2.8220 Å, b = 2.8220 Å, c = 11.5780 Å, α = 90.00°, β = 90.00° and γ = 90.00°. The distinct sites, in fractional coordinates, are Ni at (0.0000, 0.0000, 0.0000), Mo at (0.0000, 0.0000, 0.3684) and Cl at (0.0000, 0.0000, 0.7273).

The value obtained for the magnetic moment is 0.00 Bohr magnetons per cell. For the density of states at the Fermi level, the calculation gives 5.95 states/eV/cell. The raw formation energy comes out at 224 meV per atom.

***

Ni2HgCl: optimized geometry, GGA-PBEsol.

It has space group Imm2 (No. 44), with a = 2.9317 Å, b = 4.3024 Å, c = 10.5945 Å, α = 90.00°, β = 90.00° and γ = 90.00°. The distinct sites, in fractional coordinates, are Ni at (0.0000, 0.0000, 0.0000), Ni at (0.0000, 0.5000, 0.3169), Hg at (0.0000, 0.0000, 0.4433) and Cl at (0.0000, 0.5000, 0.6688).

As for the relative energy among the computed polymorphs: 0.20 eV per formula unit. The value obtained for the magnetic moment is 1.54 Bohr magnetons per cell. For the density of states at the Fermi level, the calculation gives 7.54 states/eV/cell. The raw formation energy comes out at 252 meV per atom.

***

LaMnTl2: optimized geometry, GGA-PBEsol.

It has space group P4mm (No. 99), with a = 3.5617 Å, b = 3.5617 Å, c = 7.8250 Å, α = 90.00°, β = 90.00° and γ = 90.00°. The distinct sites, in fractional coordinates, are La at (0.0000, 0.0000, 0.0000), Mn at (0.5000, 0.5000, 0.7488), Tl at (0.0000, 0.0000, 0.5649) and Tl at (0.5000, 0.5000, 0.3026).

The value obtained for the magnetic moment is 3.48 Bohr magnetons per cell. For the density of states at the Fermi level, the calculation gives 3.02 states/eV/cell. As for the formation energy: 0.65 eV per formula unit.

***

MnBe2Ru: optimized geometry, GGA-PBEsol.

It has space group Fm-3m (No. 225), with a = 5.4663 Å, b = 5.4663 Å, c = 5.4663 Å, α = 90.00°, β = 90.00° and γ = 90.00°. The distinct sites, in fractional coordinates, are Mn at (0.0000, 0.0000, 0.0000), Be at (0.2500, 0.2500, 0.2500) and Ru at (0.0000, 0.0000, 0.5000).

The value obtained for the magnetic moment is 13.46 Bohr magnetons per cell. For the density of states at the Fermi level, the calculation gives 8.80 states/eV/cell. As for the formation energy: -0.62 eV per formula unit.

***

ErP: optimized geometry, GGA-PBEsol.

It has space group Fm-3m (No. 225), with a = 5.5361 Å, b = 5.5361 Å, c = 5.5361 Å, α = 90.00°, β = 90.00° and γ = 90.00°. The distinct sites, in fractional coordinates, are Er at (0.0000, 0.0000, 0.0000) and P at (0.0000, 0.0000, 0.5000).

The value obtained for the magnetic moment is 0.00 Bohr magnetons per cell. For the density of states at the Fermi level, the calculation gives 1.00 states/eV/cell. As for the formation energy: -3.27 eV per formula unit.

***

KSbBr2: optimized geometry, GGA-PBEsol.

It has space group P4/mmm (No. 123), with a = 3.5319 Å, b = 3.5319 Å, c = 8.7543 Å, α = 90.00°, β = 90.00° and γ = 90.00°. The distinct sites, in fractional coordinates, are K at (0.0000, 0.0000, 0.0000), Sb at (0.0000, 0.0000, 0.5000) and Br at (0.5000, 0.5000, 0.2361).

As for the relative energy among the computed polymorphs: 0.47 eV per formula unit. The value obtained for the magnetic moment is 0.00 Bohr magnetons per cell. For the density of states at the Fermi level, the calculation gives 1.33 states/eV/cell. The raw formation energy comes out at -599 meV per atom.

***

BaSrOs2: optimized geometry, GGA-PBEsol.

It has space group R-3m (No. 166, hexagonal axes), with a = 3.0952 Å, b = 3.0952 Å, c = 30.8769 Å, α = 90.00°, β = 90.00° and γ = 120.00°. The distinct sites, in fractional coordinates, are Ba at (0.0000, 0.0000, 0.0000), Sr at (0.0000, 0.0000, 0.5000) and Os at (0.0000, 0.0000, 0.2463).

As for the relative energy among the computed polymorphs: 3.26 eV per formula unit. The value obtained for the magnetic moment is 0.00 Bohr magnetons per cell. For the density of states at the Fermi level, the calculation gives 17.30 states/eV/cell. As for the formation energy: 5.92 eV per formula unit.

***

RePt3O: optimized geometry, GGA-PBEsol.

It has space group Pm-3m (No. 221), with a = 4.1617 Å, b = 4.1617 Å, c = 4.1617 Å, α = 90.00°, β = 90.00° and γ = 90.00°. The distinct sites, in fractional coordinates, are Re at (0.0000, 0.0000, 0.0000), Pt at (0.0000, 0.5000, 0.5000) and O at (0.5000, 0.5000, 0.5000).

The value obtained for the magnetic moment is 2.14 Bohr magnetons per cell. For the density of states at the Fermi level, the calculation gives 6.56 states/eV/cell. The raw formation energy comes out at 973 meV per atom.